[1]
A plane-wave DFT calculation with SCAN was carried out for a crystal of CaSiCl2 relaxed with PBEsol.

Unit cell a=3.4732 b=4.2340 c=5.7710 alpha=90.00 beta=90.00 gamma=90.00
Closest atoms and distances in Å follow each position.
Atoms (fractional coordinates):
Ca 0.0000 0.5000 0.5000  4 Cl 2.74
Cl 0.0000 0.0000 0.0000  4 Si 2.74
Cl 0.5000 0.0000 0.5000  4 Ca 2.74
Si 0.5000 0.5000 0.0000  4 Cl 2.74

Total DFT energy (no corrections) in eV for the cell shown: -39.4
Energy above the most stable polymorph in this dataset in meV per atom: 86
Space group: Pmmm, No. 47


[2]
A plane-wave DFT calculation with SCAN was carried out for a crystal of CaSi2Cl relaxed with PBEsol.

Unit cell a=3.7190 b=3.7171 c=6.3531 alpha=95.71 beta=107.02 gamma=90.00
Closest atoms and distances in Å follow each position.
Atoms (fractional coordinates):
Ca 0.0000 0.5000 0.0000  4 Cl 2.63
Cl 0.5000 0.0000 0.0000  4 Ca 2.63
Si 0.2496 0.2932 0.4992  2 Si 2.41
Si 0.7504 0.7068 0.5008  2 Si 2.41

Total DFT energy (no corrections) in eV for the cell shown: -39.9
Space group: C2/m, No. 12


[3]
A plane-wave DFT calculation with SCAN was carried out for a crystal of CaSiCl2 relaxed with PBEsol.

Unit cell a=5.0341 b=5.0341 c=5.0341 alpha=80.48 beta=65.33 gamma=114.67
Closest atoms and distances in Å follow each position.
Atoms (fractional coordinates):
Ca 0.0000 0.5000 0.5000  4 Cl 2.72
Cl 0.5000 0.0000 0.5000  2 Ca 2.72, 2 Si 2.72
Cl 0.5000 0.5000 0.0000  2 Si 2.72, 2 Ca 2.72
Si 0.0000 0.0000 0.0000  4 Cl 2.72

Total DFT energy (no corrections) in eV for the cell shown: -39.4
Energy above the most stable polymorph in this dataset in meV per atom: 80
Space group: I4/mmm, No. 139


[4]
A plane-wave DFT calculation with SCAN was carried out for a crystal of CaSiCl2 relaxed with PBEsol.

Unit cell a=3.6144 b=3.6144 c=10.6857 alpha=80.26 beta=80.26 gamma=60.00
Closest atoms and distances in Å follow each position.
Atoms (fractional coordinates):
Ca 0.0000 0.0000 0.0000  6 Cl 2.64
Cl 0.2817 0.2817 0.1549  3 Ca 2.64
Cl 0.7183 0.7183 0.8451  3 Ca 2.64
Si 0.5000 0.5000 0.5000  6 Si 3.61

Total DFT energy (no corrections) in eV for the cell shown: -39.8
Energy above the most stable polymorph in this dataset in meV per atom: 0
Space group: R-3m, No. 166


Total magnetic moment list, top to bottom, in μB per formula unit: 0.00; 0.00; 0.00; 0.00
Formation energy (no corrections) list, top to bottom, in eV/atom: -0.946; -0.548; -0.951; -1.032